## CsDyCrF6 (PBE+U)

Data for a geometry-optimized CsDyCrF6 structure.

Calculated values
Its total energy is -108.0 eV/cell. As for the space-group type: Imma (74). The crystal system is orthorhombic.

a = 8.2709 Å, b = 7.6722 Å, c = 8.0827 Å
α = 118.33°, β = 120.77°, γ = 90.00°
With the nearest neighbours (Å) after each atom.
Fractional positions:
Cs1 0.8200 0.5700 0.6400  9 F 3.14-3.47
Cs2 0.1800 0.4300 0.3600  9 F 3.14-3.47
Dy1 0.5000 0.0000 0.5000  6 F 2.18-2.22
Dy2 0.0000 0.0000 0.5000  6 F 2.18-2.22
Cr1 0.5000 0.5000 0.0000  6 F 2.00-2.20
Cr2 0.5000 0.0000 0.0000  6 F 2.00-2.20
F1 0.4510 0.7010 0.9020  2 Cr 2.00
F2 0.8189 0.0689 0.6378  2 Dy 2.22
F3 0.8203 0.0939 0.2655  1 Dy 2.18, 1 Cr 2.20
F4 0.4452 0.6716 0.2655  1 Dy 2.18, 1 Cr 2.20
F5 0.4452 0.0939 0.2655  1 Dy 2.18, 1 Cr 2.20
F6 0.8203 0.6716 0.2655  1 Dy 2.18, 1 Cr 2.20
F7 0.5490 0.2990 0.0980  2 Cr 2.00
F8 0.1811 0.9311 0.3622  2 Dy 2.22
F9 0.1797 0.9061 0.7345  1 Dy 2.18, 1 Cr 2.20
F10 0.5548 0.3284 0.7345  1 Dy 2.18, 1 Cr 2.20
F11 0.5548 0.9061 0.7345  1 Dy 2.18, 1 Cr 2.20
F12 0.1797 0.3284 0.7345  1 Dy 2.18, 1 Cr 2.20